Model 1:
VASP calculation (PBE) on Sr2Pb2Au after structural relaxation.

Geometry as POSCAR:
```
Sr2Pb2Au
1.0
-2.5117 0.2328 2.9595
-2.4204 -3.9470 -1.7436
5.9742 -2.9036 5.2988
Sr Pb Au
2 2 1
Direct
0.0000 0.6895 0.3790
0.0000 0.9268 0.8535
0.5000 0.3017 0.6034
0.5000 0.5132 0.0263
0.5000 0.1110 0.2219
```

* N(E_F): 2.5 states/eV/f.u.
* space group: Amm2, No. 38

Model 2:
VASP calculation (PBE) on Sr2Pb2Au after structural relaxation.

Geometry as POSCAR:
```
Sr2Pb2Au
1.0
-4.6056 -0.7306 -4.6823
2.7819 -5.7027 -1.8465
-3.4339 -5.3584 -0.4495
Pb Sr Au
2 2 1
Direct
0.3274 0.3274 0.3451
0.6726 0.6726 0.6549
0.7500 0.2500 0.5000
0.2500 0.7500 0.5000
0.0000 0.0000 0.0000
```

* N(E_F): 4.0 states/eV/f.u.
* space group: I4/mmm, No. 139

Model 3:
VASP calculation (PBE) on Sr2Pb2Au after structural relaxation.

Geometry as POSCAR:
```
Sr2Pb2Au
1.0
7.9568 0.0000 0.0000
0.0000 7.9568 0.0000
0.0000 0.0000 5.1174
Pb Sr Au
4 4 2
Direct
0.3566 0.8566 0.0000
0.8566 0.6434 0.0000
0.6434 0.1434 0.0000
0.1434 0.3566 0.0000
0.1659 0.6659 0.5000
0.6659 0.8341 0.5000
0.8341 0.3341 0.5000
0.3341 0.1659 0.5000
0.0000 0.0000 0.0000
0.5000 0.5000 0.0000
```

* N(E_F): 2.3 states/eV/f.u.
* space group: P4/mbm, No. 127

Which one sits at the top of the stability order? model 1 does.

Model 1:
VASP calculation (PBE) on Sr2Pb2Au after structural relaxation.

Geometry as POSCAR:
```
Sr2Pb2Au
1.0
-0.2447 4.7743 1.1715
-5.8949 1.7305 2.0564
3.2330 0.0925 10.6380
Sr Pb Au
4 4 2
Direct
0.6807 0.3077 0.3310
0.9302 0.2551 0.8845
0.3193 0.6923 0.6690
0.0698 0.7449 0.1155
0.0981 0.2517 0.5521
0.6415 0.8308 0.8862
0.9019 0.7483 0.4479
0.3585 0.1692 0.1138
0.6062 0.1155 0.6721
0.3938 0.8845 0.3279
```

* N(E_F): 2.2 states/eV/f.u.
* space group: C2/m, No. 12

Model 2:
VASP calculation (PBE) on Sr2Pb2Au after structural relaxation.

Geometry as POSCAR:
```
Sr2Pb2Au
1.0
-0.3421 -4.5491 7.4550
8.3749 1.9444 1.5708
-1.3670 3.9776 2.3644
Pb Sr Au
4 4 2
Direct
0.1179 0.6179 0.5000
0.6179 0.8821 0.5000
0.8821 0.3821 0.5000
0.3821 0.1179 0.5000
0.3187 0.8187 0.0000
0.8187 0.6813 0.0000
0.6813 0.1813 0.0000
0.1813 0.3187 0.0000
0.0000 0.0000 0.0000
0.5000 0.5000 0.0000
```

* N(E_F): 2.0 states/eV/f.u.
* space group: P4/mbm, No. 127

Which one sits at the top of the stability order? model 1 does.

Model 1:
VASP calculation (PBE) on SrPb3Au after structural relaxation.

Geometry as POSCAR:
```
SrPb3Au
1.0
4.6169 0.0000 0.0000
0.0000 10.6830 0.0000
0.0000 0.0000 12.6670
Sr Pb Au
4 12 4
Direct
0.7500 0.8072 0.9995
0.2500 0.6928 0.4995
0.7500 0.3072 0.5005
0.2500 0.1928 0.0005
0.2500 0.5518 0.0961
0.7500 0.4482 0.9039
0.2500 0.0518 0.4039
0.7500 0.9482 0.5961
0.2500 0.4088 0.7110
0.7500 0.0912 0.2110
0.2500 0.9088 0.7890
0.7500 0.6705 0.7196
0.2500 0.3295 0.2804
0.7500 0.1705 0.7804
0.7500 0.5912 0.2890
0.2500 0.8295 0.2196
0.2500 0.1433 0.6255
0.2500 0.6433 0.8745
0.7500 0.3567 0.1255
0.7500 0.8567 0.3745
```

* N(E_F): 2.7 states/eV/f.u.
* space group: Pnma, No. 62

Model 2:
VASP calculation (PBE) on SrPb3Au after structural relaxation.

Geometry as POSCAR:
```
SrPb3Au
1.0
-2.3674 -3.8528 3.3910
-2.0968 -2.6825 -4.5116
4.6846 -3.1476 -0.3058
Pb Sr Au
3 1 1
Direct
0.0000 0.5000 0.0000
0.0000 0.0000 0.5000
0.5000 0.0000 0.0000
0.5000 0.5000 0.5000
0.0000 0.0000 0.0000
```

* N(E_F): 2.5 states/eV/f.u.
* space group: Pm-3m, No. 221

Model 3:
VASP calculation (PBE) on SrPb3Au after structural relaxation.

Geometry as POSCAR:
```
SrPb3Au
1.0
-5.4707 -1.1884 2.4795
2.7168 -3.1858 4.4674
0.4230 5.0918 3.3739
Pb Sr Au
3 1 1
Direct
0.0000 0.5000 0.0000
0.0000 0.0000 0.5000
0.5000 0.0000 0.0000
0.0000 0.0000 0.0000
0.5000 0.5000 0.5000
```

* N(E_F): 5.6 states/eV/f.u.
* space group: Pm-3m, No. 221

Which one sits at the top of the stability order? model 1 does.

Model 1:
VASP calculation (PBE) on Sr3PbAu after structural relaxation.

Geometry as POSCAR:
```
Sr3PbAu
1.0
4.3521 -0.0006 -0.0009
0.0015 9.8483 0.0709
0.0027 3.4903 9.2126
Sr Pb Au
6 2 2
Direct
0.8638 0.3884 0.8190
0.8639 0.9999 0.6738
0.8625 0.6212 0.0524
0.3634 0.0276 0.0798
0.8625 0.7671 0.4405
0.3633 0.3608 0.4132
0.3632 0.6941 0.7464
0.8634 0.1941 0.2465
0.3624 0.6942 0.2464
0.3639 0.1941 0.7465
```

* N(E_F): 3.8 states/eV/f.u.
* space group: Cmmm, No. 65

Model 2:
VASP calculation (PBE) on Sr3PbAu after structural relaxation.

Geometry as POSCAR:
```
Sr3PbAu
1.0
5.9578 0.0000 0.0000
0.0000 5.9578 0.0000
0.0000 0.0000 5.9578
Pb Sr Au
1 3 1
Direct
0.5000 0.5000 0.5000
0.0000 0.5000 0.0000
0.0000 0.0000 0.5000
0.5000 0.0000 0.0000
0.0000 0.0000 0.0000
```

* N(E_F): 4.0 states/eV/f.u.
* space group: Pm-3m, No. 221

Which one sits at the top of the stability order? model 1 does.

Model 1:
VASP calculation (PBE) on SrPb3Au3 after structural relaxation.

Geometry as POSCAR:
```
SrPb3Au3
1.0
7.8614 0.0000 0.0000
0.0000 7.8614 0.0000
0.0000 0.0000 7.8614
Pb Sr Au
6 2 6
Direct
0.2500 0.0000 0.5000
0.0000 0.5000 0.2500
0.5000 0.7500 0.0000
0.7500 0.0000 0.5000
0.0000 0.5000 0.7500
0.5000 0.2500 0.0000
0.5000 0.5000 0.5000
0.0000 0.0000 0.0000
0.0000 0.2500 0.5000
0.0000 0.7500 0.5000
0.5000 0.0000 0.7500
0.7500 0.5000 0.0000
0.5000 0.0000 0.2500
0.2500 0.5000 0.0000
```

* N(E_F): 3.0 states/eV/f.u.
* space group: Pm-3n, No. 223

Model 2:
VASP calculation (PBE) on SrPb3Au3 after structural relaxation.

Geometry as POSCAR:
```
SrPb3Au3
1.0
-2.8251 3.8285 1.2801
-3.9772 -5.1385 6.5909
7.8397 5.0990 2.0522
Sr Pb Au
2 6 6
Direct
0.7500 0.3386 0.6709
0.2500 0.6614 0.3291
0.7500 0.7777 0.0376
0.7500 0.2641 0.2299
0.7500 0.9606 0.7229
0.2500 0.2223 0.9624
0.2500 0.7359 0.7701
0.2500 0.0394 0.2771
0.7500 0.9321 0.3989
0.7500 0.4620 0.0585
0.7500 0.5951 0.5277
0.2500 0.0679 0.6011
0.2500 0.5380 0.9415
0.2500 0.4049 0.4723
```

* N(E_F): 2.9 states/eV/f.u.
* space group: P2_1/m, No. 11

Which one sits at the top of the stability order? model 2 does.

Model 1:
VASP calculation (PBE) on SrTlPbAu after structural relaxation.

Geometry as POSCAR:
```
SrTlPbAu
1.0
4.4666 0.0000 0.0000
0.0000 4.4666 0.0000
0.0000 0.0000 13.4348
Sr Tl Pb Au
2 2 2 2
Direct
0.0000 0.5000 0.8552
0.5000 0.0000 0.1448
0.0000 0.5000 0.3086
0.5000 0.0000 0.6914
0.0000 0.0000 0.5000
0.5000 0.5000 0.5000
0.5000 0.0000 0.9131
0.0000 0.5000 0.0869
```

* N(E_F): 1.1 states/eV/f.u.
* space group: P4/nmm, No. 129

Model 2:
VASP calculation (PBE) on SrTlPbAu after structural relaxation.

Geometry as POSCAR:
```
SrTlPbAu
1.0
5.4190 0.0000 0.0000
2.7095 4.6930 0.0000
2.7095 1.5643 4.4246
Pb Sr Tl Au
1 1 1 1
Direct
0.0000 0.0000 0.0000
0.5000 0.5000 0.5000
0.2500 0.2500 0.2500
0.7500 0.7500 0.7500
```

* N(E_F): 1.7 states/eV/f.u.
* space group: F-43m, No. 216

Which one sits at the top of the stability order? model 2 does.

Model 1:
VASP calculation (PBE) on TbPb2Au after structural relaxation.

Geometry as POSCAR:
```
TbPb2Au
1.0
-1.6446 -2.8345 -1.3936
1.2583 -1.5060 -2.9715
6.0127 -7.8958 4.4139
Pb Tb Au
2 1 1
Direct
0.0989 0.0989 0.7034
0.9011 0.9011 0.2966
0.0000 0.0000 0.0000
0.5000 0.5000 0.5000
```

* N(E_F): 2.7 states/eV/f.u.
* space group: R-3m, No. 166

Model 2:
VASP calculation (PBE) on TbPb2Au after structural relaxation.

Geometry as POSCAR:
```
TbPb2Au
1.0
4.5726 0.0000 0.0000
0.0000 4.7341 0.0000
0.0000 0.0000 4.7341
Pb Tb Au
2 1 1
Direct
0.0000 0.0000 0.5000
0.0000 0.5000 0.0000
0.5000 0.0000 0.0000
0.5000 0.5000 0.5000
```

* N(E_F): 2.5 states/eV/f.u.
* space group: P4/mmm, No. 123

Which one sits at the top of the stability order? model 2 does.

Model 1:
VASP calculation (PBE) on TePbAu3 after structural relaxation.

Geometry as POSCAR:
```
TePbAu3
1.0
-4.9198 1.4669 1.4526
0.8262 -2.0412 4.8597
1.8918 4.7061 1.6551
Pb Te Au
1 1 3
Direct
0.0000 0.0000 0.0000
0.5000 0.5000 0.5000
0.0000 0.5000 0.0000
0.0000 0.0000 0.5000
0.5000 0.0000 0.0000
```

* N(E_F): 6.1 states/eV/f.u.
* space group: Pm-3m, No. 221

Model 2:
VASP calculation (PBE) on TePbAu3 after structural relaxation.

Geometry as POSCAR:
```
TePbAu3
1.0
-2.6418 -1.7251 -4.2742
4.5823 -0.4507 -2.6503
0.4980 -5.0045 1.7120
Pb Te Au
1 1 3
Direct
0.5000 0.5000 0.5000
0.0000 0.0000 0.0000
0.0000 0.5000 0.0000
0.0000 0.0000 0.5000
0.5000 0.0000 0.0000
```

* N(E_F): 3.2 states/eV/f.u.
* space group: Pm-3m, No. 221

Which one sits at the top of the stability order? model 2 does.